VASP calculation (PBE) on an optimized crystal structure of MgFe2Sb.

VASP energy: -5.11 eV/atom
ΔE_f (raw): 2.2 eV/f.u.

Cell lengths 7.2439, 7.2439, 5.8177 Å; angles 51.50, 51.50, 90.00 degrees
With the nearest neighbours (Å) after each atom.
Fractional coordinates of all 8 atoms:
Sb  0.0000  0.0000  0.0000  4 Fe 2.60, 2 Mg 2.76
Sb  0.7500  0.2500  0.5000  4 Fe 2.60, 2 Mg 2.76
Mg  0.5000  0.5000  0.0000  4 Fe 2.71, 2 Sb 2.76
Mg  0.2500  0.7500  0.5000  4 Fe 2.71, 2 Sb 2.76
Fe  0.6360  0.1250  0.2500  2 Sb 2.60, 2 Mg 2.71, 2 Fe 2.76
Fe  0.1140  0.6250  0.2500  2 Sb 2.60, 2 Mg 2.71, 2 Fe 2.76
Fe  0.3750  0.3640  0.7500  2 Sb 2.60, 2 Mg 2.71, 2 Fe 2.76
Fe  0.8750  0.8860  0.7500  2 Sb 2.60, 2 Mg 2.71, 2 Fe 2.76

---

VASP calculation (PBE) on an optimized crystal structure of Mg2ScFeSb.

VASP energy: -3.65 eV/atom
ΔE_f (raw): 3.8 eV/f.u.

Cell lengths 5.2269, 5.4001, 5.2269 Å; angles 90.00, 90.00, 90.00 degrees
With the nearest neighbours (Å) after each atom.
Fractional coordinates of all 5 atoms:
Sc  0.0000  0.5000  0.0000  2 Sb 2.70
Sb  0.0000  0.0000  0.0000  4 Mg 2.61, 2 Sc 2.70
Mg  0.0000  0.0000  0.5000  2 Sb 2.61
Mg  0.5000  0.0000  0.0000  2 Sb 2.61
Fe  0.5000  0.5000  0.5000  4 Sc 3.70, 8 Mg 3.76

---

VASP calculation (PBE) on an optimized crystal structure of MgFeSbTe2.

VASP energy: -3.81 eV/atom
ΔE_f (raw): 1.4 eV/f.u.
energy above the lowest structure with this stoichiometry: 0 meV per atom

Cell lengths 5.2735, 5.2735, 4.8885 Å; angles 90.00, 90.00, 90.00 degrees
With the nearest neighbours (Å) after each atom.
Fractional coordinates of all 5 atoms:
Sb  0.0000  0.0000  0.5000  2 Fe 2.44
Mg  0.5000  0.5000  0.5000  8 Te 3.60, 4 Sb 3.73
Te  0.0000  0.5000  0.0000  2 Fe 2.64
Te  0.5000  0.0000  0.0000  2 Fe 2.64
Fe  0.0000  0.0000  0.0000  2 Sb 2.44, 4 Te 2.64

---

VASP calculation (PBE) on an optimized crystal structure of MgScFe2.

VASP energy: -6.05 eV/atom
energy of formation: 0.1613 eV/atom

Cell lengths 4.9418, 4.9418, 4.9418 Å; angles 133.21, 133.21, 68.33 degrees
With the nearest neighbours (Å) after each atom.
Fractional coordinates of all 4 atoms:
Fe  0.0000  0.0000  0.0000  4 Mg 2.78, 4 Fe 2.83, 4 Sc 2.83
Fe  0.2500  0.7500  0.5000  4 Sc 2.78, 4 Mg 2.83, 4 Fe 2.83
Mg  0.5000  0.5000  0.0000  8 Fe 2.78-2.83, 4 Sc 2.83
Sc  0.7500  0.2500  0.5000  8 Fe 2.78-2.83, 4 Mg 2.83

---

VASP calculation (PBE) on an optimized crystal structure of Mg2Sc2Fe.

VASP energy: -4.19 eV/atom
energy of formation: 0.6722 eV/atom
energy above the lowest structure with this stoichiometry: 795 meV per atom

Cell lengths 7.9707, 7.9707, 7.9707 Å; angles 151.88, 151.88, 40.19 degrees
With the nearest neighbours (Å) after each atom.
Fractional coordinates of all 5 atoms:
Mg  0.5887  0.5887  0.0000  1 Mg 2.66
Mg  0.4113  0.4113  0.0000  1 Mg 2.66
Sc  0.2500  0.7500  0.5000  4 Sc 2.74
Sc  0.7500  0.2500  0.5000  4 Sc 2.74
Fe  0.0000  0.0000  0.0000  8 Mg 3.04

---

VASP calculation (PBE) on an optimized crystal structure of Mg2ScFe.

VASP energy: -4.36 eV/atom
energy of formation: 0.1337 eV/atom

Cell lengths 5.6998, 5.6998, 5.6998 Å; angles 146.99, 133.46, 58.24 degrees
With the nearest neighbours (Å) after each atom.
Fractional coordinates of all 4 atoms:
Fe  0.7500  0.2500  0.5000  4 Mg 2.67, 4 Sc 2.77
Mg  0.9629  0.9629  0.0000  2 Fe 2.67, 4 Mg 2.87
Mg  0.5371  0.5371  0.0000  2 Fe 2.67, 4 Mg 2.87
Sc  0.2500  0.7500  0.5000  4 Fe 2.77, 4 Mg 3.09

---

VASP energy of number 5 (Mg2Sc2Fe)? -4.19 eV/atom

---

Look up the VASP energy of the third one. -3.81 eV/atom